CsCa2VF8: optimized geometry, GGA+U.

Calculated values
The value obtained for the calculated total energy is -67.13 eV for the cell shown. As for the symmetry: No. 2. As for the density of states at the Fermi level: 0.00 states/eV per cell.

a = 5.6222 Å, b = 5.0556 Å, c = 7.4010 Å
α = 88.04°, β = 79.11°, γ = 102.23°
Last column: magnetic moment on the atom in μB.
Fractional positions:
Cs (0.0000, 0.0000, 0.5000)  0.00
Ca (0.4133, 0.5229, 0.7574)  0.00
Ca (0.5867, 0.4771, 0.2426)  0.00
V (0.0000, 0.0000, 0.0000)  1.91
F (0.9984, 0.7007, 0.1693)  0.00
F (0.7082, 0.7312, 0.9258)  0.01
F (0.7381, 0.0903, 0.1878)  0.00
F (0.0016, 0.2993, 0.8307)  0.00
F (0.2918, 0.2688, 0.0742)  0.01
F (0.2619, 0.9097, 0.8122)  0.00
F (0.3243, 0.6069, 0.4695)  0.00
F (0.6757, 0.3931, 0.5305)  0.00